# BeFeCl, optimized geometry, DFT PBE
# Final energy in eV/atom: -4.468
# Mass density in g/cm3: 4.3
# ΔE to the lowest computed polymorph in meV per atom: 0
data_BeFeCl
_symmetry_space_group_name_H-M 'P 3 m 1'
_symmetry_Int_Tables_number 156
_symmetry_space_group_name_Hall 'P 3 -2"'
_cell_length_a 2.9192
_cell_length_b 2.9192
_cell_length_c 5.2889
_cell_angle_alpha 90.00
_cell_angle_beta 90.00
_cell_angle_gamma 120.00
loop_
_atom_site_label
_atom_site_fract_x
_atom_site_fract_y
_atom_site_fract_z
Be1 0.0000 0.0000 0.0000
Fe1 0.3333 0.6667 0.6823
Cl1 0.6667 0.3333 0.3039

---

# BeFeCl2, optimized geometry, DFT PBE
# Final energy in eV/atom: -3.144
# Mass density in g/cm3: 3.4
# ΔE to the lowest computed polymorph in meV per atom: 1147
data_BeFeCl2
_symmetry_space_group_name_H-M 'F -4 3 m'
_symmetry_Int_Tables_number 216
_symmetry_space_group_name_Hall 'F -4 2 3'
_cell_length_a 6.411
_cell_length_b 6.411
_cell_length_c 6.411
_cell_angle_alpha 90.00
_cell_angle_beta 90.00
_cell_angle_gamma 90.00
loop_
_atom_site_label
_atom_site_fract_x
_atom_site_fract_y
_atom_site_fract_z
Be1 0.000 0.000 0.000
Fe1 0.250 0.250 0.750
Cl1 0.000 0.000 0.500
Cl2 0.250 0.250 0.250

---

# BeFeCl2, optimized geometry, DFT PBE
# Final energy in eV/atom: -3.482
# Mass density in g/cm3: 3.8
# ΔE to the lowest computed polymorph in meV per atom: 809
data_BeFeCl2
_symmetry_space_group_name_H-M 'F m -3 m'
_symmetry_Int_Tables_number 225
_symmetry_space_group_name_Hall '-F 4 2 3'
_cell_length_a 6.192
_cell_length_b 6.192
_cell_length_c 6.192
_cell_angle_alpha 90.00
_cell_angle_beta 90.00
_cell_angle_gamma 90.00
loop_
_atom_site_label
_atom_site_fract_x
_atom_site_fract_y
_atom_site_fract_z
Be1 0.000 0.000 0.000
Fe1 0.000 0.000 0.500
Cl1 0.250 0.250 0.250

---

# Be2FeCl, optimized geometry, DFT PBE
# Final energy in eV/atom: -3.995
# Mass density in g/cm3: 3.5
# ΔE to the lowest computed polymorph in meV per atom: 334
data_Be2FeCl
_symmetry_space_group_name_H-M 'C m m 2'
_symmetry_Int_Tables_number 35
_symmetry_space_group_name_Hall 'C 2 -2'
_cell_length_a 2.789
_cell_length_b 5.025
_cell_length_c 7.406
_cell_angle_alpha 90.00
_cell_angle_beta 90.00
_cell_angle_gamma 90.00
loop_
_atom_site_label
_atom_site_fract_x
_atom_site_fract_y
_atom_site_fract_z
Be1 0.000 0.000 0.000
Be2 0.000 0.500 0.239
Fe1 0.000 0.000 0.485
Cl1 0.000 0.500 0.783

---

# BeFeCl, optimized geometry, DFT PBE
# Final energy in eV/atom: -3.695
# Mass density in g/cm3: 3.6
# ΔE to the lowest computed polymorph in meV per atom: 772
data_BeFeCl
_symmetry_space_group_name_H-M 'F -4 3 m'
_symmetry_Int_Tables_number 216
_symmetry_space_group_name_Hall 'F -4 2 3'
_cell_length_a 5.687
_cell_length_b 5.687
_cell_length_c 5.687
_cell_angle_alpha 90.00
_cell_angle_beta 90.00
_cell_angle_gamma 90.00
loop_
_atom_site_label
_atom_site_fract_x
_atom_site_fract_y
_atom_site_fract_z
Be1 0.000 0.000 0.000
Fe1 0.250 0.250 0.250
Cl1 0.250 0.250 0.750

---

# BeFeCl2, optimized geometry, DFT PBE
# Final energy in eV/atom: -3.841
# Mass density in g/cm3: 3.3
# ΔE to the lowest computed polymorph in meV per atom: 450
data_BeFeCl2
_symmetry_space_group_name_H-M 'R -3 m'
_symmetry_Int_Tables_number 166
_symmetry_space_group_name_Hall '-R 3 2"'
_cell_length_a 3.2411
_cell_length_b 3.2411
_cell_length_c 22.2032
_cell_angle_alpha 90.00
_cell_angle_beta 90.00
_cell_angle_gamma 120.00
loop_
_atom_site_label
_atom_site_fract_x
_atom_site_fract_y
_atom_site_fract_z
Be1 0.0000 0.0000 0.0000
Fe1 0.0000 0.0000 0.5000
Cl1 0.0000 0.0000 0.0944